No. 1
An optimized crystal structure of AcCeZnSb. Source: the Alexandria database, functional PBE.

Calculated volume, Å³/cell: 118
VASP energy, eV per cell: -17.332
Space group: F-43m, No. 216
Magnetic moment, μB/atom: 0.397

a = 5.5042 Å, b = 5.5042 Å, c = 5.5042 Å
α = 60.00°, β = 60.00°, γ = 60.00°
Last column: magnetic moment on the atom in μB.
Sites, in units of the cell vectors:
Zn1 0.0000 0.0000 0.0000  0.02
Sb1 0.5000 0.5000 0.5000  0.01
Ac1 0.2500 0.2500 0.2500  0.09
Ce1 0.7500 0.7500 0.7500  1.01



No. 2
An optimized crystal structure of Ba3YPt. Source: the Alexandria database, functional PBE.

Calculated volume, Å³/cell: 233
Energy of formation from the pure elements, eV/atom: 0.941
Space group: Pm-3m, No. 221
Magnetic moment, μB/atom: 0.000

a = 6.1578 Å, b = 6.1578 Å, c = 6.1578 Å
α = 90.00°, β = 90.00°, γ = 90.00°
Sites, in units of the cell vectors:
Ba1 0.5000 0.0000 0.0000
Ba2 0.0000 0.0000 0.5000
Ba3 0.0000 0.5000 0.0000
Pt1 0.5000 0.5000 0.5000
Y1 0.0000 0.0000 0.0000



No. 3
An optimized crystal structure of Sc6As2O. Source: the Alexandria database, functional PBE.

Calculated volume, Å³/cell: 385
VASP energy, eV per cell: -124.291
Space group: P4_2/mnm, No. 136
Magnetic moment, μB/atom: 0.000

a = 5.8411 Å, b = 5.8411 Å, c = 11.2740 Å
α = 90.00°, β = 90.00°, γ = 90.00°
Sites, in units of the cell vectors:
Sc1 0.7160 0.7160 0.0000
Sc2 0.2160 0.7840 0.5000
Sc3 0.7840 0.2160 0.5000
Sc4 0.1919 0.8081 0.1417
Sc5 0.8081 0.1919 0.8583
Sc6 0.6919 0.6919 0.6417
Sc7 0.2840 0.2840 0.0000
Sc8 0.3081 0.3081 0.6417
Sc9 0.6919 0.6919 0.3583
Sc10 0.1919 0.8081 0.8583
Sc11 0.8081 0.1919 0.1417
Sc12 0.3081 0.3081 0.3583
As1 0.0000 0.0000 0.6737
As2 0.5000 0.5000 0.8263
As3 0.5000 0.5000 0.1737
As4 0.0000 0.0000 0.3263
O1 0.0000 0.0000 0.0000
O2 0.5000 0.5000 0.5000



No. 4
An optimized crystal structure of KNa2As. Source: the Alexandria database, functional PBE.

Calculated volume, Å³/cell: 153
Energy of formation from the pure elements, eV/atom: -0.071
Space group: Immm, No. 71
Magnetic moment, μB/atom: 0.000

a = 8.4052 Å, b = 8.4052 Å, c = 8.4052 Å
α = 46.98°, β = 140.14°, γ = 156.15°
Sites, in units of the cell vectors:
K1 0.0000 0.0000 0.0000
Na1 0.0000 0.6802 0.6802
Na2 0.0000 0.3198 0.3198
As1 0.0000 0.5000 0.5000



No. 5
An optimized crystal structure of SrLa3Os. Source: the Alexandria database, functional PBE.

Calculated volume, Å³/cell: 558
Energy of formation from the pure elements, eV/atom: 0.608
Space group: Cmcm, No. 63
Magnetic moment, μB/atom: 0.000

a = 15.1898 Å, b = 15.1898 Å, c = 5.2972 Å
α = 90.00°, β = 90.00°, γ = 152.82°
Sites, in units of the cell vectors:
La1 0.0327 0.4494 0.2500
La2 0.9673 0.5506 0.7500
La3 0.4494 0.0327 0.7500
La4 0.5506 0.9673 0.2500
La5 0.0000 0.0000 0.0000
La6 0.0000 0.0000 0.5000
Sr1 0.8784 0.1216 0.7500
Sr2 0.1216 0.8784 0.2500
Os1 0.7753 0.2247 0.7500
Os2 0.2247 0.7753 0.2500



No. 6
An optimized crystal structure of Tm3Hf. Source: the Alexandria database, functional PBE.

Calculated volume, Å³/cell: 109
Energy of formation from the pure elements, eV/atom: 0.124
Space group: Pm-3m, No. 221
Magnetic moment, μB/atom: 0.000

a = 4.7824 Å, b = 4.7824 Å, c = 4.7824 Å
α = 90.00°, β = 90.00°, γ = 90.00°
Sites, in units of the cell vectors:
Tm1 0.5000 0.5000 0.0000
Tm2 0.5000 0.0000 0.5000
Tm3 0.0000 0.5000 0.5000
Hf1 0.0000 0.0000 0.0000



No. 7
An optimized crystal structure of Mg2MnIr. Source: the Alexandria database, functional PBE.

Calculated volume, Å³/cell: 65
Energy of formation from the pure elements, eV/atom: -0.053
Space group: P4mm, No. 99
Magnetic moment, μB/atom: 0.186

a = 2.8364 Å, b = 2.8364 Å, c = 8.0735 Å
α = 90.00°, β = 90.00°, γ = 90.00°
Last column: magnetic moment on the atom in μB.
Sites, in units of the cell vectors:
Mg1 0.5000 0.5000 0.2924  -0.01
Mg2 0.0000 0.0000 0.9591  0.00
Ir1 0.5000 0.5000 0.7171  -0.09
Mn1 0.0000 0.0000 0.5315  0.87



No. 8
An optimized crystal structure of PmHo6Tm6. Source: the Alexandria database, functional PBE.

Calculated volume, Å³/cell: 425
Energy of formation from the pure elements, eV/atom: 0.276
Space group: P6/mmm, No. 191
Magnetic moment, μB/atom: 0.207

a = 6.5854 Å, b = 6.5854 Å, c = 11.3084 Å
α = 90.00°, β = 90.00°, γ = 119.99°
Last column: magnetic moment on the atom in μB.
Sites, in units of the cell vectors:
Ho1 0.3332 0.6668 0.5000  0.30
Ho2 0.0000 0.0000 0.3474  0.20
Ho3 0.6668 0.3332 0.5000  0.30
Ho4 0.0000 0.0000 0.6526  0.20
Ho5 0.6667 0.3333 0.0000  0.01
Ho6 0.3333 0.6667 0.0000  0.01
Tm1 0.0000 0.5000 0.2438  0.15
Tm2 0.5000 0.0000 0.7562  0.15
Tm3 0.0000 0.5000 0.7562  0.15
Tm4 0.5000 0.5000 0.2439  0.15
Tm5 0.5000 0.0000 0.2438  0.15
Tm6 0.5000 0.5000 0.7561  0.15
Pm1 0.0000 0.0000 0.0000  0.07



No. 9
An optimized crystal structure of K3Li3CdI8. Source: the Alexandria database, functional PBE.

Calculated volume, Å³/cell: 561
VASP energy, eV per cell: -39.676
Space group: C2/m, No. 12
Magnetic moment, μB/atom: 0.000

a = 8.9374 Å, b = 8.9606 Å, c = 9.5965 Å
α = 117.88°, β = 90.00°, γ = 119.91°
Sites, in units of the cell vectors:
I1 0.7649 0.0296 0.2955
I2 0.2351 0.9704 0.7045
I3 0.7658 0.5316 0.2961
I4 0.7354 0.9704 0.7045
I5 0.7363 0.4725 0.7077
I6 0.2646 0.0296 0.2955
I7 0.2637 0.5275 0.2923
I8 0.2342 0.4684 0.7039
Li1 0.0000 0.5000 0.5000
Li2 0.5000 0.5000 0.5000
Li3 0.5000 0.0000 0.5000
Cd1 0.0000 0.0000 0.5000
K1 0.5000 0.5000 0.0000
K2 0.0000 0.5000 0.0000
K3 0.0000 0.0000 0.0000



No. 10
An optimized crystal structure of La3PmTm3. Source: the Alexandria database, functional PBE.

Calculated volume, Å³/cell: 476
Energy of formation from the pure elements, eV/atom: 0.032
Space group: P2_1/m, No. 11
Magnetic moment, μB/atom: 0.000

a = 5.8029 Å, b = 9.7343 Å, c = 9.7313 Å
α = 119.99°, β = 90.00°, γ = 90.00°
Sites, in units of the cell vectors:
La1 0.2500 0.2461 0.1938
La2 0.7500 0.7539 0.8062
La3 0.7500 0.1939 0.9476
La4 0.2500 0.9481 0.7544
La5 0.7500 0.0519 0.2456
La6 0.2500 0.8061 0.0524
Tm1 0.7500 0.4828 0.3868
Tm2 0.2500 0.0956 0.4826
Tm3 0.2500 0.5172 0.6132
Tm4 0.7500 0.6130 0.0957
Tm5 0.7500 0.9044 0.5174
Tm6 0.2500 0.3870 0.9043
Pm1 0.2500 0.6670 0.3337
Pm2 0.7500 0.3330 0.6663



No. 11
An optimized crystal structure of ZrSb2Te. Source: the Alexandria database, functional PBE.

Calculated volume, Å³/cell: 107
VASP energy, eV per cell: -21.378
Space group: P4mm, No. 99
Magnetic moment, μB/atom: 0.000

a = 3.6732 Å, b = 3.6732 Å, c = 7.9050 Å
α = 90.00°, β = 90.00°, γ = 90.00°
Sites, in units of the cell vectors:
Zr1 0.5000 0.5000 0.7671
Te1 0.0000 0.0000 0.5622
Sb1 0.0000 0.0000 0.9741
Sb2 0.5000 0.5000 0.1966



No. 12
An optimized crystal structure of TbTlCuBr5. Source: the Alexandria database, functional PBE.

Calculated volume, Å³/cell: 557
VASP energy, eV per cell: -58.125
Space group: C2/c, No. 15
Magnetic moment, μB/atom: 0.019

a = 7.7573 Å, b = 7.7573 Å, c = 10.5373 Å
α = 103.71°, β = 103.71°, γ = 106.70°
Last column: magnetic moment on the atom in μB.
Sites, in units of the cell vectors:
Br1 0.0832 0.9168 0.2500  0.00
Br2 0.9109 0.3172 0.1159  0.01
Br3 0.0891 0.6828 0.8841  0.01
Br4 0.3824 0.2430 0.0698  0.01
Br5 0.7570 0.6176 0.4302  0.01
Br6 0.6828 0.0891 0.3841  0.01
Br7 0.2430 0.3824 0.5698  0.01
Br8 0.9168 0.0832 0.7500  0.00
Br9 0.6176 0.7570 0.9302  0.01
Br10 0.3172 0.9109 0.6159  0.01
Tl1 0.6422 0.3578 0.7500  0.00
Tl2 0.3578 0.6422 0.2500  0.00
Cu1 0.6912 0.3088 0.2500  0.12
Cu2 0.3088 0.6912 0.7500  0.12
Tb1 0.0000 0.0000 0.0000  0.00
Tb2 0.0000 0.0000 0.5000  0.00